# 1
Compound: La4Y10Er
Source: Alexandria via LeMat-Bulk
Functional: PBE
Structure: optimized geometry

a b c (Å): 8.798 8.798 8.798
angles (deg): 111.48 111.48 105.53
Sites, in units of the cell vectors:
La 0.066 0.665 0.731
La 0.335 0.066 0.401
La 0.665 0.934 0.599
La 0.934 0.335 0.269
Y 0.130 0.224 0.679
Y 0.224 0.546 0.094
Y 0.250 0.750 0.500
Y 0.451 0.130 0.906
Y 0.454 0.549 0.679
Y 0.546 0.451 0.321
Y 0.549 0.870 0.094
Y 0.750 0.250 0.500
Y 0.776 0.454 0.906
Y 0.870 0.776 0.321
Er 0.000 0.000 0.000

The value obtained for the density of states at the Fermi level is 24.65 states/eV per cell. The calculation puts the spin magnetization at 0.0 μB/cell. The electronic total energy comes out at -83.442 eV per cell. Its formation energy from the elements is 5.471 eV per formula unit. The crystal system is tetragonal.

***

# 2
Compound: LaY5Er8
Source: Alexandria via LeMat-Bulk
Functional: PBE
Structure: optimized geometry

a b c (Å): 8.397 8.397 8.397
angles (deg): 110.65 110.65 107.14
Sites, in units of the cell vectors:
La 0.000 0.000 0.000
Y 0.214 0.310 0.678
Y 0.250 0.750 0.500
Y 0.464 0.786 0.096
Y 0.631 0.536 0.322
Y 0.690 0.369 0.904
Er 0.156 0.419 0.082
Er 0.337 0.074 0.918
Er 0.427 0.168 0.401
Er 0.581 0.663 0.737
Er 0.767 0.026 0.599
Er 0.832 0.233 0.259
Er 0.926 0.844 0.263
Er 0.974 0.573 0.741

The value obtained for the density of states at the Fermi level is 21.06 states/eV per cell. The calculation puts the spin magnetization at 0.0 μB/cell. The electronic total energy comes out at -70.325 eV per cell. Its formation energy from the elements is 3.426 eV per formula unit. The crystal system is tetragonal.

***

# 3
Compound: La2YEr3
Source: Alexandria via LeMat-Bulk
Functional: PBE
Structure: optimized geometry

a b c (Å): 7.750 7.750 6.719
angles (deg): 91.66 91.66 96.37
Sites, in units of the cell vectors:
La 0.072 0.588 0.760
La 0.412 0.928 0.740
La 0.588 0.072 0.260
La 0.928 0.412 0.240
Y 0.000 0.000 0.000
Y 0.000 0.000 0.500
Er 0.270 0.730 0.250
Er 0.332 0.338 0.499
Er 0.338 0.332 0.999
Er 0.662 0.668 0.001
Er 0.668 0.662 0.501
Er 0.730 0.270 0.750

The energy above the most stable polymorph in this dataset is 69 meV per atom. The value obtained for the density of states at the Fermi level is 20.19 states/eV per cell. The calculation puts the spin magnetization at 0.0 μB/cell. The electronic total energy comes out at -57.706 eV per cell. Its formation energy from the elements is 1.155 eV per formula unit. The crystal system is monoclinic.

***

# 4
Compound: La2Y4Er5
Source: Alexandria via LeMat-Bulk
Functional: PBE
Structure: optimized geometry

a b c (Å): 12.078 12.078 8.693
angles (deg): 94.35 94.35 16.75
Sites, in units of the cell vectors:
La 0.227 0.227 0.324
La 0.773 0.773 0.676
Y 0.087 0.087 0.192
Y 0.459 0.459 0.158
Y 0.541 0.541 0.842
Y 0.913 0.913 0.808
Er 0.000 0.000 0.500
Er 0.316 0.316 0.028
Er 0.372 0.372 0.458
Er 0.628 0.628 0.542
Er 0.684 0.684 0.972

The energy above the most stable polymorph in this dataset is 46 meV per atom. The value obtained for the density of states at the Fermi level is 18.90 states/eV per cell. The calculation puts the spin magnetization at 0.0 μB/cell. The electronic total energy comes out at -57.278 eV per cell. Its formation energy from the elements is 1.248 eV per formula unit. The crystal system is monoclinic.

***

# 5
Compound: La5Y6Er
Source: Alexandria via LeMat-Bulk
Functional: PBE
Structure: optimized geometry

a b c (Å): 9.654 9.654 6.233
angles (deg): 91.66 91.66 44.83
Sites, in units of the cell vectors:
La 0.000 0.000 0.000
La 0.167 0.167 0.666
La 0.336 0.336 0.330
La 0.664 0.664 0.670
La 0.833 0.833 0.334
Y 0.085 0.584 0.832
Y 0.252 0.748 0.500
Y 0.416 0.915 0.168
Y 0.584 0.085 0.832
Y 0.748 0.252 0.500
Y 0.915 0.416 0.168
Er 0.500 0.500 0.000

The value obtained for the density of states at the Fermi level is 19.07 states/eV per cell. The calculation puts the spin magnetization at 0.0 μB/cell. The electronic total energy comes out at -67.663 eV per cell. Its formation energy from the elements is 0.321 eV per formula unit. The crystal system is monoclinic.

***

# 6
Compound: La3Y8Er2
Source: Alexandria via LeMat-Bulk
Functional: PBE
Structure: optimized geometry

a b c (Å): 6.363 8.197 17.812
angles (deg): 78.25 85.41 74.12
Sites, in units of the cell vectors:
La 0.000 0.000 0.000
La 0.000 0.000 0.500
La 0.411 0.626 0.239
La 0.489 0.818 0.696
La 0.511 0.182 0.304
La 0.589 0.374 0.761
Y 0.036 0.612 0.740
Y 0.110 0.940 0.332
Y 0.134 0.539 0.076
Y 0.172 0.148 0.800
Y 0.301 0.690 0.888
Y 0.339 0.620 0.562
Y 0.368 0.194 0.582
Y 0.428 0.230 0.959
Y 0.572 0.770 0.041
Y 0.632 0.806 0.418
Y 0.661 0.380 0.438
Y 0.699 0.310 0.112
Y 0.828 0.852 0.200
Y 0.866 0.461 0.924
Y 0.890 0.060 0.668
Y 0.964 0.388 0.260
Er 0.126 0.501 0.415
Er 0.263 0.085 0.150
Er 0.737 0.915 0.850
Er 0.874 0.499 0.585

The energy above the most stable polymorph in this dataset is 0 meV per atom. The value obtained for the density of states at the Fermi level is 43.23 states/eV per cell. The calculation puts the spin magnetization at 0.0 μB/cell. The electronic total energy comes out at -147.888 eV per cell. Its formation energy from the elements is 1.677 eV per formula unit. The crystal system is triclinic.